No. 1
{
  "formula": "Pm6Pb3Au",
  "functional": "PBE-GGA",
  "state": "optimized geometry",
  "total_energy_ev_per_cell": -94.1,
  "space_group": "No. 11",
  "formation_enthalpy_0k_kj_per_mol_atoms": -40,
  "n_ef_per_ev_cell": 20.76,
  "rho_g_cm3": 8.68,
  "total_magnetization_mub_per_cell": 0.0,
  "cell": [[-0.5999, 2.4237, 3.6796], [-3.2201, -9.3619, 5.6415], [13.5768, 2.1225, 0.8153]],
  "species": ["Pm", "Pb", "Au", "Pb", "Pm", "Pm", "Au", "Pm", "Pm", "Pm", "Pm", "Pm", "Pb", "Pm", "Pm", "Pb", "Pb", "Pm", "Pm", "Pb"],
  "frac_coords": [[0.2500, 0.8989, 0.5657], [0.7500, 0.3667, 0.8497], [0.2500, 0.9285, 0.3037], [0.2500, 0.8865, 0.9562], [0.2500, 0.1446, 0.2218], [0.7500, 0.8408, 0.1161], [0.7500, 0.0715, 0.6963], [0.7500, 0.1011, 0.4343], [0.7500, 0.8554, 0.7782], [0.7500, 0.7597, 0.3391], [0.2500, 0.5794, 0.9025], [0.7500, 0.4206, 0.0975], [0.2500, 0.6333, 0.1503], [0.2500, 0.5149, 0.3515], [0.2500, 0.2403, 0.6609], [0.2500, 0.3272, 0.4693], [0.7500, 0.6728, 0.5307], [0.7500, 0.4851, 0.6485], [0.2500, 0.1592, 0.8839], [0.7500, 0.1135, 0.0438]]
}

No. 2
{
  "formula": "Li3Ni4H8",
  "functional": "PBE-GGA",
  "state": "optimized geometry",
  "total_energy_ev_per_cell": -58.4,
  "space_group": "No. 12",
  "n_ef_per_ev_cell": 4.57,
  "rho_g_cm3": 4.23,
  "total_magnetization_mub_per_cell": 0.0,
  "cell": [[5.2196, -0.0718, -0.1031], [-2.5447, 4.6075, 0.1226], [-2.5447, -1.4845, 4.3636]],
  "species": ["Li", "H", "H", "Li", "Ni", "Ni", "Ni", "H", "H", "H", "Li", "H", "H", "H", "Ni"],
  "frac_coords": [[0.5000, 0.5000, 0.5000], [0.0000, 0.7693, 0.2307], [0.0327, 0.7726, 0.7726], [0.5000, 0.0000, 0.5000], [0.0000, 0.0000, 0.5000], [0.5000, 0.0000, 0.0000], [0.0000, 0.5000, 0.0000], [0.0000, 0.2307, 0.7693], [0.9673, 0.2274, 0.2274], [0.5000, 0.7655, 0.2345], [0.5000, 0.5000, 0.0000], [0.5000, 0.2345, 0.7655], [0.5565, 0.8044, 0.8044], [0.4435, 0.1956, 0.1956], [0.0000, 0.0000, 0.0000]]
}

No. 3
{
  "formula": "BaRhAu2",
  "functional": "PBE-GGA",
  "state": "optimized geometry",
  "total_energy_ev_per_cell": -16.2,
  "space_group": "No. 25",
  "e_above_lowest_polymorph_mev_per_atom": 254,
  "formation_enthalpy_0k_kj_per_mol_atoms": -8,
  "n_ef_per_ev_cell": 3.27,
  "rho_g_cm3": 10.47,
  "total_magnetization_mub_per_cell": 0.0,
  "cell": [[-3.8713, -0.5541, 0.5230], [0.1079, -3.1763, -2.5662], [1.1942, -3.8260, 4.7857]],
  "species": ["Au", "Ba", "Rh", "Au"],
  "frac_coords": [[0.0000, 0.5000, 0.7840], [0.5000, 0.0000, 0.5263], [0.5000, 0.5000, 0.0870], [0.0000, 0.0000, 0.1027]]
}